No. 1
Computed, not measured: LaTiTe2N after structural relaxation at the PBE level of DFT.

Unit cell a=6.272 b=6.272 c=4.011 alpha=90.00 beta=90.00 gamma=90.00
Atoms (fractional coordinates):
Ti: 0.500 0.500 0.500
Te: 0.500 0.000 0.000
Te: 0.000 0.500 0.000
N: 0.000 0.000 0.500
La: 0.000 0.000 0.000

Output
ΔE_f (raw), eV per atom: 0.3495
Offset from the most stable computed form, meV/atom: 1182
Size of the total moment, μB per formula unit: 2.16

---

No. 2
Computed, not measured: BaRe3Pb after structural relaxation at the PBE level of DFT.

Unit cell a=5.113 b=5.113 c=5.113 alpha=90.00 beta=90.00 gamma=90.00
Atoms (fractional coordinates):
Re: 0.500 0.000 0.000
Re: 0.000 0.000 0.500
Re: 0.000 0.500 0.000
Ba: 0.000 0.000 0.000
Pb: 0.500 0.500 0.500

Output
Offset from the most stable computed form, meV/atom: 1035
Formation energy from the elements, eV per atom: 3.62
Size of the total moment, μB per formula unit: 4.58

---

No. 3
Computed, not measured: TaHg2Pt after structural relaxation at the PBE level of DFT.

Unit cell a=10.432 b=10.432 c=10.432 alpha=16.46 beta=16.46 gamma=16.46
Atoms (fractional coordinates):
Ta: 0.758 0.758 0.758
Hg: 0.007 0.007 0.007
Hg: 0.242 0.242 0.242
Pt: 0.493 0.493 0.493

Output
Offset from the most stable computed form, meV/atom: 81
Formation energy from the elements, eV per atom: 0.05
Size of the total moment, μB per formula unit: 0.00

---

No. 4
Computed, not measured: PuAlGaOs after structural relaxation at the PBE level of DFT.

Unit cell a=4.326 b=4.326 c=5.366 alpha=66.23 beta=66.23 gamma=60.00
Atoms (fractional coordinates):
Os: 0.270 0.270 0.189
Pu: 0.819 0.819 0.543
Al: 0.605 0.605 0.186
Ga: 0.032 0.032 0.905

Output
Formation energy from the elements, eV per atom: -0.16
Size of the total moment, μB per formula unit: 4.75

---

No. 5
Computed, not measured: K2TeS3 after structural relaxation at the PBE level of DFT.

Unit cell a=5.558 b=8.291 c=8.082 alpha=90.00 beta=90.00 gamma=109.59
Atoms (fractional coordinates):
K: 0.662 0.324 0.500
K: 0.338 0.676 0.000
K: 0.662 0.324 0.000
K: 0.338 0.676 0.500
S: 0.849 0.679 0.750
S: 0.151 0.321 0.250
S: 0.535 0.000 0.750
S: 0.465 0.000 0.250
S: 0.170 0.321 0.750
S: 0.830 0.679 0.250
Te: 0.960 0.000 0.750
Te: 0.040 0.000 0.250

Output
ΔE_f (raw), eV per atom: -0.5061
Offset from the most stable computed form, meV/atom: 246
Size of the total moment, μB per formula unit: 0.61

---

No. 6
Computed, not measured: NdTl2AgBr6 after structural relaxation at the PBE level of DFT.

Unit cell a=7.717 b=8.195 c=10.954 alpha=90.00 beta=89.04 gamma=90.00
Atoms (fractional coordinates):
Br: 0.311 0.702 0.448
Br: 0.694 0.307 0.948
Br: 0.806 0.807 0.552
Br: 0.891 0.525 0.255
Br: 0.194 0.193 0.448
Br: 0.189 0.202 0.052
Br: 0.609 0.025 0.245
Br: 0.306 0.693 0.052
Br: 0.689 0.298 0.552
Br: 0.391 0.975 0.755
Br: 0.811 0.798 0.948
Br: 0.109 0.475 0.745
Tl: 0.971 0.082 0.745
Tl: 0.029 0.918 0.255
Tl: 0.529 0.582 0.755
Tl: 0.471 0.418 0.245
Ag: 0.000 0.500 0.500
Ag: 0.500 0.000 0.000
Nd: 0.500 0.000 0.500
Nd: 0.000 0.500 0.000

Output
ΔE_f (raw), eV per atom: -1.1603
Size of the total moment, μB per formula unit: 0.00

---

No. 7
Computed, not measured: K2CdAsSe4 after structural relaxation at the PBE level of DFT.

Unit cell a=8.593 b=8.593 c=9.016 alpha=121.65 beta=121.65 gamma=90.82
Atoms (fractional coordinates):
K: 0.000 0.000 0.500
K: 0.500 0.500 0.000
K: 0.500 0.000 0.000
K: 0.500 0.000 0.500
As: 0.000 0.000 0.000
As: 0.500 0.500 0.500
Se: 0.761 0.306 0.534
Se: 0.239 0.694 0.466
Se: 0.806 0.261 0.034
Se: 0.194 0.739 0.966
Se: 0.241 0.259 0.042
Se: 0.759 0.741 0.958
Se: 0.759 0.741 0.542
Se: 0.241 0.259 0.458
Cd: 0.000 0.500 0.000
Cd: 0.000 0.500 0.500

Output
ΔE_f (raw), eV per atom: -0.5317
Size of the total moment, μB per formula unit: 0.87

---

No. 8
Computed, not measured: PrHo5Tm5 after structural relaxation at the PBE level of DFT.

Unit cell a=6.036 b=6.036 c=11.425 alpha=90.00 beta=90.00 gamma=120.00
Atoms (fractional coordinates):
Ho: 0.000 0.000 0.736
Ho: 0.336 0.168 0.500
Ho: 0.832 0.168 0.500
Ho: 0.000 0.000 0.264
Ho: 0.832 0.664 0.500
Pr: 0.333 0.667 0.000
Tm: 0.667 0.333 0.840
Tm: 0.333 0.667 0.328
Tm: 0.667 0.333 0.160
Tm: 0.000 0.000 0.000
Tm: 0.333 0.667 0.672

Output
Offset from the most stable computed form, meV/atom: 186
Formation energy from the elements, eV per atom: 0.33
Size of the total moment, μB per formula unit: 0.00

---

No. 9
Computed, not measured: Re5Se after structural relaxation at the PBE level of DFT.

Unit cell a=7.377 b=7.377 c=4.440 alpha=90.00 beta=90.00 gamma=157.65
Atoms (fractional coordinates):
Re: 0.436 0.564 0.500
Re: 0.668 0.332 0.000
Re: 0.329 0.671 0.000
Re: 0.779 0.221 0.500
Re: 0.997 0.003 0.000
Se: 0.124 0.876 0.500

Output
ΔE_f (raw), eV per atom: 0.3264
Offset from the most stable computed form, meV/atom: 76
Size of the total moment, μB per formula unit: 0.00

---

No. 10
Computed, not measured: Ac4NdS7 after structural relaxation at the PBE level of DFT.

Unit cell a=4.165 b=7.330 c=12.299 alpha=104.93 beta=90.00 gamma=106.50
Atoms (fractional coordinates):
S: 0.339 0.679 0.950
S: 0.660 0.320 0.049
S: 0.269 0.538 0.648
S: 0.492 0.985 0.502
S: 0.042 0.084 0.777
S: 0.741 0.483 0.358
S: 0.957 0.913 0.215
Nd: 0.888 0.776 0.578
Ac: 0.698 0.397 0.805
Ac: 0.111 0.221 0.427
Ac: 0.303 0.606 0.194
Ac: 0.000 0.999 0.997

Output
ΔE_f (raw), eV per atom: -2.1213
Size of the total moment, μB per formula unit: 0.00

---

No. 11
Computed, not measured: Ca2NiAs2 after structural relaxation at the PBE level of DFT.

Unit cell a=6.806 b=6.806 c=4.438 alpha=90.00 beta=90.00 gamma=90.00
Atoms (fractional coordinates):
As: 0.357 0.857 0.000
As: 0.643 0.143 0.000
As: 0.143 0.357 0.000
As: 0.857 0.643 0.000
Ca: 0.330 0.170 0.500
Ca: 0.670 0.830 0.500
Ca: 0.170 0.670 0.500
Ca: 0.830 0.330 0.500
Ni: 0.500 0.500 0.000
Ni: 0.000 0.000 0.000

Output
Formation energy from the elements, eV per atom: -0.70
Size of the total moment, μB per formula unit: 0.00

---

No. 12
Computed, not measured: CaDyAlIn after structural relaxation at the PBE level of DFT.

Unit cell a=5.276 b=5.276 c=5.276 alpha=60.00 beta=60.00 gamma=60.00
Atoms (fractional coordinates):
Dy: 0.250 0.250 0.250
In: 0.500 0.500 0.500
Al: 0.000 0.000 0.000
Ca: 0.750 0.750 0.750

Output
Formation energy from the elements, eV per atom: -0.34
Size of the total moment, μB per formula unit: 0.00